The following is a DFT calculation (PBE) of a relaxed BH4I crystal.

The structure belongs to space group C2/m (No. 12); the cell edges are 4.342, 4.342 and 7.875 Å and the angles 90.00°, 90.27° and 90.00°. Symmetry generates all atoms from B at (0.000, 0.000, 0.000), H at (0.001, 0.000, 0.153), H at (0.250, 0.250, 0.000) and I at (0.000, 0.500, 0.500).

The density of states at the Fermi level comes out at 0.2174 states/eV per atom. The calculation puts the raw total energy at -3.260 eV per atom. The density comes out at 3.171 g/cm³.